Density functional theory data (GGA-PBE) for a relaxed LiPrThHg crystal.

POSCAR file:
```
LiPrThHg
1.0
0.000 3.804 3.804
3.804 0.000 3.804
3.804 3.804 0.000
Li Pr Th Hg
1 1 1 1
Direct
0.000 0.000 0.000 Li
0.250 0.250 0.250 Pr
0.750 0.750 0.750 Th
0.500 0.500 0.500 Hg
```

## Properties
Total DFT energy (no corrections) (eV per formula unit): -14.7

---

Density functional theory data (GGA-PBE) for a relaxed Li2PrTl2Hg2 crystal.

POSCAR file:
```
Li2PrTl2Hg2
1.0
2.522 1.456 7.620
-2.522 1.456 7.620
0.000 -2.913 7.620
Li Pr Tl Hg
2 1 2 2
Direct
0.148 0.148 0.148 Li
0.852 0.852 0.852 Li
0.000 0.000 0.000 Pr
0.430 0.430 0.430 Tl
0.570 0.570 0.570 Tl
0.271 0.271 0.271 Hg
0.729 0.729 0.729 Hg
```

## Properties
Total DFT energy (no corrections) (eV per formula unit): -16.0

---

Density functional theory data (GGA-PBE) for a relaxed LiPrTlHg crystal.

POSCAR file:
```
LiPrTlHg
1.0
0.000 3.702 3.702
3.702 0.000 3.702
3.702 3.702 0.000
Li Pr Tl Hg
1 1 1 1
Direct
0.000 0.000 0.000 Li
0.500 0.500 0.500 Pr
0.250 0.250 0.250 Tl
0.750 0.750 0.750 Hg
```

## Properties
Total DFT energy (no corrections) (eV per formula unit): -11.0

---

Density functional theory data (GGA-PBE) for a relaxed Li2PrTmHg4 crystal.

POSCAR file:
```
Li2PrTmHg4
1.0
2.529 1.460 8.371
-2.529 1.460 8.371
0.000 -2.920 8.371
Li Pr Tm Hg
2 1 1 4
Direct
0.247 0.247 0.247 Li
0.753 0.753 0.753 Li
0.000 0.000 0.000 Pr
0.500 0.500 0.500 Tm
0.129 0.129 0.129 Hg
0.380 0.380 0.380 Hg
0.620 0.620 0.620 Hg
0.871 0.871 0.871 Hg
```

## Properties
Total DFT energy (no corrections) (eV per formula unit): -17.8

---

Density functional theory data (GGA-PBE) for a relaxed Li2PrYHg4 crystal.

POSCAR file:
```
Li2PrYHg4
1.0
2.545 1.469 8.383
-2.545 1.469 8.383
0.000 -2.939 8.383
Li Pr Y Hg
2 1 1 4
Direct
0.248 0.248 0.248 Li
0.752 0.752 0.752 Li
0.000 0.000 0.000 Pr
0.500 0.500 0.500 Y
0.127 0.127 0.127 Hg
0.378 0.378 0.378 Hg
0.622 0.622 0.622 Hg
0.873 0.873 0.873 Hg
```

## Properties
Total DFT energy (no corrections) (eV per formula unit): -19.9

---

Density functional theory data (GGA-PBE) for a relaxed Li2PrZnHg4 crystal.

POSCAR file:
```
Li2PrZnHg4
1.0
2.339 1.351 9.230
-2.339 1.351 9.230
0.000 -2.701 9.230
Li Pr Zn Hg
2 1 1 4
Direct
0.232 0.232 0.232 Li
0.768 0.768 0.768 Li
0.000 0.000 0.000 Pr
0.500 0.500 0.500 Zn
0.125 0.125 0.125 Hg
0.394 0.394 0.394 Hg
0.606 0.606 0.606 Hg
0.875 0.875 0.875 Hg
```

## Properties
Total DFT energy (no corrections) (eV per formula unit): -13.6

---

Density functional theory data (GGA-PBE) for a relaxed LiHg2Pt crystal.

POSCAR file:
```
LiHg2Pt
1.0
4.322 0.000 0.000
0.000 4.322 0.000
0.000 0.000 3.836
Li Hg Pt
1 2 1
Direct
0.000 0.000 0.000 Li
0.000 0.500 0.500 Hg
0.500 0.000 0.500 Hg
0.500 0.500 0.000 Pt
```

## Properties
Energy above the lowest structure with this stoichiometry (meV per atom): 45

---

Density functional theory data (GGA-PBE) for a relaxed Li8Hg2Pt crystal.

POSCAR file:
```
Li8Hg2Pt
1.0
-2.229 3.230 6.502
2.229 -3.230 6.502
2.229 3.230 -6.502
Li Hg Pt
8 2 1
Direct
0.138 0.363 0.775 Li
0.157 0.157 0.000 Li
0.269 0.000 0.269 Li
0.412 0.637 0.775 Li
0.588 0.363 0.225 Li
0.731 0.000 0.731 Li
0.843 0.843 0.000 Li
0.862 0.637 0.225 Li
0.306 0.806 0.500 Hg
0.694 0.194 0.500 Hg
0.000 0.500 0.500 Pt
```

## Properties
Energy above the lowest structure with this stoichiometry (meV per atom): 12

---

Density functional theory data (GGA-PBE) for a relaxed LiHg2Pt crystal.

POSCAR file:
```
LiHg2Pt
1.0
-1.999 2.006 4.500
1.999 -2.006 4.500
1.999 2.006 -4.500
Li Hg Pt
1 2 1
Direct
0.000 0.000 0.000 Li
0.499 0.499 0.000 Hg
0.750 0.250 0.500 Hg
0.249 0.749 0.500 Pt
```

## Properties
Energy above the lowest structure with this stoichiometry (meV per atom): 53

---

Density functional theory data (GGA-PBE) for a relaxed LiHg2Pt crystal.

POSCAR file:
```
LiHg2Pt
1.0
1.530 0.884 9.159
-1.530 0.884 9.159
0.000 -1.767 9.159
Li Hg Pt
1 2 1
Direct
0.000 0.000 0.000 Li
0.252 0.252 0.252 Hg
0.748 0.748 0.748 Hg
0.500 0.500 0.500 Pt
```

## Properties
Energy above the lowest structure with this stoichiometry (meV per atom): 165

---

Density functional theory data (GGA-PBE) for a relaxed Li3Hg2Pt3 crystal.

POSCAR file:
```
Li3Hg2Pt3
1.0
3.530 2.038 2.959
-3.530 2.038 2.959
0.000 -4.076 2.959
Li Hg Pt
3 2 3
Direct
0.000 0.269 0.731 Li
0.269 0.731 0.000 Li
0.731 0.000 0.269 Li
0.231 0.231 0.231 Hg
0.769 0.769 0.769 Hg
0.264 0.736 0.500 Pt
0.500 0.264 0.736 Pt
0.736 0.500 0.264 Pt
```

## Properties
Total DFT energy (no corrections) (eV per formula unit): -27.3

---

Density functional theory data (GGA-PBE) for a relaxed LiHg2Pt crystal.

POSCAR file:
```
LiHg2Pt
1.0
3.047 0.000 0.000
0.000 3.047 0.000
0.000 0.000 7.767
Li Hg Pt
1 2 1
Direct
0.000 0.000 0.000 Li
0.500 0.500 0.241 Hg
0.500 0.500 0.759 Hg
0.000 0.000 0.500 Pt
```

## Properties
Energy above the lowest structure with this stoichiometry (meV per atom): 108

---

Density functional theory data (GGA-PBE) for a relaxed LiHg2Pt crystal.

POSCAR file:
```
LiHg2Pt
1.0
2.995 0.000 0.000
0.000 4.579 0.000
-1.215 0.000 5.338
Li Hg Pt
1 2 1
Direct
0.000 0.000 0.000 Li
0.409 0.500 0.797 Hg
0.692 0.000 0.451 Hg
0.120 0.500 0.260 Pt
```

## Properties
Energy above the lowest structure with this stoichiometry (meV per atom): 93

---

Density functional theory data (GGA-PBE) for a relaxed Li8Hg2Pt crystal.

POSCAR file:
```
Li8Hg2Pt
1.0
7.135 -2.076 0.000
7.135 2.076 0.000
-1.875 0.000 6.116
Li Hg Pt
8 2 1
Direct
0.034 0.034 0.251 Li
0.138 0.138 0.671 Li
0.332 0.332 0.594 Li
0.405 0.405 0.076 Li
0.595 0.595 0.924 Li
0.668 0.668 0.406 Li
0.862 0.862 0.329 Li
0.966 0.966 0.749 Li
0.212 0.212 0.152 Hg
0.788 0.788 0.848 Hg
0.500 0.500 0.500 Pt
```

## Properties
Energy above the lowest structure with this stoichiometry (meV per atom): 0

---

Density functional theory data (GGA-PBE) for a relaxed LiHg2Pt crystal.

POSCAR file:
```
LiHg2Pt
1.0
-1.446 2.107 7.330
1.446 -2.107 7.330
1.446 2.107 -7.330
Li Hg Pt
1 2 1
Direct
0.000 0.000 0.000 Li
0.315 0.315 0.000 Hg
0.685 0.685 0.000 Hg
0.500 0.500 0.000 Pt
```

## Properties
Energy above the lowest structure with this stoichiometry (meV per atom): 189

---

Density functional theory data (GGA-PBE) for a relaxed LiHg2Pt crystal.

POSCAR file:
```
LiHg2Pt
1.0
3.504 0.000 0.000
0.000 3.504 0.000
0.000 0.000 5.940
Li Hg Pt
1 2 1
Direct
0.000 0.000 0.000 Li
0.500 0.500 0.246 Hg
0.500 0.500 0.754 Hg
0.000 0.000 0.500 Pt
```

## Properties
Energy above the lowest structure with this stoichiometry (meV per atom): 74

---

Density functional theory data (GGA-PBE) for a relaxed Li3Hg4Pt2 crystal.

POSCAR file:
```
Li3Hg4Pt2
1.0
3.968 -2.360 0.000
3.968 2.360 0.000
-0.483 0.000 8.612
Li Hg Pt
3 4 2
Direct
0.000 0.000 0.000 Li
0.334 0.334 0.557 Li
0.666 0.666 0.443 Li
0.005 0.005 0.334 Hg
0.333 0.333 0.888 Hg
0.667 0.667 0.112 Hg
0.995 0.995 0.666 Hg
0.335 0.335 0.229 Pt
0.665 0.665 0.771 Pt
```

## Properties
Total DFT energy (no corrections) (eV per formula unit): -21.8

---

Density functional theory data (GGA-PBE) for a relaxed LiHgPt3 crystal.

POSCAR file:
```
LiHgPt3
1.0
4.327 0.000 0.000
0.000 4.327 0.000
0.000 0.000 4.327
Li Hg Pt
1 1 3
Direct
0.000 0.000 0.000 Li
0.500 0.500 0.500 Hg
0.000 0.000 0.500 Pt
0.000 0.500 0.000 Pt
0.500 0.000 0.000 Pt
```

## Properties
Energy above the lowest structure with this stoichiometry (meV per atom): 0

---

Density functional theory data (GGA-PBE) for a relaxed Li5Hg6Pt crystal.

POSCAR file:
```
Li5Hg6Pt
1.0
4.612 0.000 0.000
0.000 6.793 0.000
-2.247 0.000 6.950
Li Hg Pt
5 6 1
Direct
0.000 0.000 0.000 Li
0.327 0.000 0.653 Li
0.346 0.500 0.694 Li
0.654 0.500 0.306 Li
0.673 0.000 0.347 Li
0.170 0.252 0.340 Hg
0.170 0.748 0.340 Hg
0.500 0.234 0.000 Hg
0.500 0.766 0.000 Hg
0.830 0.252 0.660 Hg
0.830 0.748 0.660 Hg
0.000 0.500 0.000 Pt
```

## Properties
Total DFT energy (no corrections) (eV per formula unit): -21.5

---

Density functional theory data (GGA-PBE) for a relaxed LiHgPt crystal.

POSCAR file:
```
LiHgPt
1.0
4.443 0.000 0.000
-2.221 3.847 0.000
0.000 0.000 2.902
Li Hg Pt
1 1 1
Direct
0.000 0.000 0.000 Li
0.333 0.667 0.672 Hg
0.667 0.333 0.213 Pt
```

## Properties
Energy above the lowest structure with this stoichiometry (meV per atom): 18

---

Density functional theory data (GGA-PBE) for a relaxed LiHgPt crystal.

POSCAR file:
```
LiHgPt
1.0
2.922 0.000 0.000
-1.461 2.530 0.000
0.000 0.000 6.910
Li Hg Pt
1 1 1
Direct
0.000 0.000 0.000 Li
0.333 0.667 0.655 Hg
0.667 0.333 0.287 Pt
```

## Properties
Energy above the lowest structure with this stoichiometry (meV per atom): 141

---

Density functional theory data (GGA-PBE) for a relaxed LiHg2Pt2 crystal.

POSCAR file:
```
LiHg2Pt2
1.0
-1.938 1.938 6.803
1.938 -1.938 6.803
1.938 1.938 -6.803
Li Hg Pt
1 2 2
Direct
0.000 0.000 0.000 Li
0.399 0.399 0.000 Hg
0.601 0.601 0.000 Hg
0.250 0.750 0.500 Pt
0.750 0.250 0.500 Pt
```

## Properties
Energy above the lowest structure with this stoichiometry (meV per atom): 103

---

Density functional theory data (GGA-PBE) for a relaxed LiHg2Pt crystal.

POSCAR file:
```
LiHg2Pt
1.0
5.165 -1.509 0.000
5.165 1.509 0.000
-1.226 0.000 4.717
Li Hg Pt
1 2 1
Direct
0.000 0.000 0.000 Li
0.540 0.540 0.536 Hg
0.759 0.759 0.190 Hg
0.296 0.296 0.716 Pt
```

## Properties
Energy above the lowest structure with this stoichiometry (meV per atom): 83

---

Density functional theory data (GGA-PBE) for a relaxed LiHg2Pt crystal.

POSCAR file:
```
LiHg2Pt
1.0
4.557 -1.513 0.000
4.557 1.513 0.000
-0.852 0.000 5.414
Li Hg Pt
1 2 1
Direct
0.000 0.000 0.000 Li
0.248 0.248 0.753 Hg
0.752 0.752 0.247 Hg
0.500 0.500 0.500 Pt
```

## Properties
Energy above the lowest structure with this stoichiometry (meV per atom): 88

---

Density functional theory data (GGA-PBE) for a relaxed LiHg2Pt2 crystal.

POSCAR file:
```
LiHg2Pt2
1.0
-2.162 2.162 5.969
2.162 -2.162 5.969
2.162 2.162 -5.969
Li Hg Pt
1 2 2
Direct
0.000 0.000 0.000 Li
0.250 0.750 0.500 Hg
0.750 0.250 0.500 Hg
0.396 0.396 0.000 Pt
0.604 0.604 0.000 Pt
```

## Properties
Energy above the lowest structure with this stoichiometry (meV per atom): 219

---

Density functional theory data (GGA-PBE) for a relaxed Li5Hg2Pt crystal.

POSCAR file:
```
Li5Hg2Pt
1.0
-2.320 2.320 6.029
2.320 -2.320 6.029
2.320 2.320 -6.029
Li Hg Pt
5 2 1
Direct
0.000 0.000 0.000 Li
0.117 0.617 0.500 Li
0.383 0.883 0.500 Li
0.617 0.117 0.500 Li
0.883 0.383 0.500 Li
0.255 0.255 0.000 Hg
0.745 0.745 0.000 Hg
0.500 0.500 0.000 Pt
```

## Properties
Total DFT energy (no corrections) (eV per formula unit): -19.2

---

Density functional theory data (GGA-PBE) for a relaxed LiHg2Pt2 crystal.

POSCAR file:
```
LiHg2Pt2
1.0
8.005 0.000 0.000
0.000 8.005 0.000
0.000 0.000 3.043
Li Hg Pt
2 4 4
Direct
0.000 0.000 0.000 Li
0.500 0.500 0.000 Li
0.172 0.328 0.000 Hg
0.328 0.828 0.000 Hg
0.672 0.172 0.000 Hg
0.828 0.672 0.000 Hg
0.127 0.627 0.500 Pt
0.373 0.127 0.500 Pt
0.627 0.873 0.500 Pt
0.873 0.373 0.500 Pt
```

## Properties
Energy above the lowest structure with this stoichiometry (meV per atom): 63

---

no.,Fermi-level density of states (states/eV/cell),spin magnetization (μB/f.u.)
1,4.4,0.001
2,2.6,0.000
3,2.4,0.000
4,5.6,0.000
5,5.8,0.000
6,3.5,0.000
7,1.9,0.000
8,3.9,0.000
9,1.4,0.000
10,1.6,0.000
11,2.8,0.000
12,1.1,0.000
13,1.0,0.000
14,3.7,0.000
15,0.9,0.000
16,1.2,0.000
17,2.3,0.000
18,5.5,0.000
19,3.7,0.000
20,0.9,0.000
21,2.1,0.000
22,2.8,0.000
23,0.9,0.000
24,1.3,0.000
25,2.1,0.000
26,2.3,0.000
27,3.7,0.000